PBE+U Mn3O5F, relaxed; energy relative to the lowest polymorph listed for this composition = 0.05 eV per formula unit; DFT total energy = -125.257 eV per cell; mass density = 4.70 g/cm³
1.0
4.5401 -0.0017 0.0028
0.1366 4.5380 0.0028
0.0609 0.0591 9.0414
Mn O F
6 10 2
Direct
0.9957 0.9957 0.8405
0.0043 0.0043 0.1595
0.0000 0.0000 0.5000
0.5238 0.5238 0.6676
0.5000 0.5000 0.0000
0.4762 0.4762 0.3324
0.8075 0.8075 0.0007
0.8132 0.8132 0.6701
0.7015 0.3129 0.8340
0.6871 0.2985 0.1660
0.6916 0.3084 0.5000
0.3129 0.7015 0.8340
0.2985 0.6871 0.1660
0.3084 0.6916 0.5000
0.1925 0.1925 0.9993
0.1868 0.1868 0.3299
0.7879 0.7879 0.3222
0.2121 0.2121 0.6778